(1)
Compound: KScOs2
Source: Alexandria via LeMat-Bulk
Functional: PBEsol
Structure: relaxed

Cell: 2.7787 2.7787 9.8990 Å, 90.00 90.00 113.99°
Element x y z (fractional)
1 K 0.5000 0.5000 0.0000
2 Os 0.0000 0.0000 0.2831
3 Os 0.0000 0.0000 0.7169
4 Sc 0.5000 0.5000 0.5000

Properties
Energy relative to the elements = 2.294 eV/f.u.
E above lowest polymorph = 0.000 eV/atom
Magnetic moment = 0.00 μB per formula unit
Crystal system = orthorhombic

=====

(2)
Compound: KOs2Se
Source: Alexandria via LeMat-Bulk
Functional: PBEsol
Structure: relaxed

Cell: 2.7866 5.6251 6.0039 Å, 117.93 103.42 90.00°
Element x y z (fractional)
1 K 0.2364 0.7364 0.4727
2 Os 0.0546 0.0546 0.1092
3 Os 0.7551 0.2551 0.5102
4 Se 0.4540 0.4540 0.9079

Properties
Formation energy without anion corrections = 1037 meV/atom
Magnetic moment = 0.00 μB per formula unit
Crystal system = orthorhombic

=====

(3)
Compound: KOsSe2
Source: Alexandria via LeMat-Bulk
Functional: PBEsol
Structure: relaxed

Cell: 3.0104 3.8100 7.3551 Å, 90.00 90.00 90.00°
Element x y z (fractional)
1 K 0.5000 0.5000 0.5000
2 Os 0.0000 0.5000 0.0000
3 Se 0.0000 0.0000 0.2073
4 Se 0.0000 0.0000 0.7927

Properties
Formation energy without anion corrections = -114 meV/atom
Magnetic moment = 0.00 μB per formula unit
Crystal system = orthorhombic

=====

(4)
Compound: KOsSe
Source: Alexandria via LeMat-Bulk
Functional: PBEsol
Structure: relaxed

Cell: 3.1767 3.1767 6.6362 Å, 103.85 103.85 90.00°
Element x y z (fractional)
1 K 0.9982 0.9982 0.9965
2 Os 0.7086 0.7086 0.4172
3 Se 0.2931 0.2931 0.5863

Properties
Formation energy without anion corrections = 322 meV/atom
Magnetic moment = 0.00 μB per formula unit
Crystal system = tetragonal

=====

no.,ρ (kg/m3),volume (A^3/atom)
1,11046,17.46
2,10319,20.06
3,7623,21.09
4,8124,21.00